1.
{"formula": "HoPuCuNi", "functional": "GGA-PBE", "state": "optimized geometry", "energy_ev_per_cell": -29.2, "m_tot_mub_per_cell": 5.4, "delta_e_f_ev_per_atom": -0.101, "space_group": "F-43m", "dos_ef_per_ev_atom": 2.92, "lattice": [[4.8264, 0.0000, 0.0000], [2.4132, 4.1798, 0.0000], [2.4132, 1.3933, 3.9408]], "species": ["Ni", "Ho", "Cu", "Pu"], "frac_coords": [[0.7500, 0.7500, 0.7500], [0.0000, 0.0000, 0.0000], [0.2500, 0.2500, 0.2500], [0.5000, 0.5000, 0.5000]]}



2.
{"formula": "HoCuSi2Ni5", "functional": "GGA-PBE", "state": "optimized geometry", "energy_ev_per_cell": -50.5, "m_tot_mub_per_cell": 0.0, "e_form_raw_ev_per_atom": -0.231, "space_group": "P4/mmm", "dos_ef_per_ev_atom": 0.28, "lattice": [[-0.5411, -3.5798, -1.0245], [1.4590, -1.1563, 3.2698], [-7.9054, 0.1684, 3.5869]], "species": ["Ho", "Cu", "Si", "Si", "Ni", "Ni", "Ni", "Ni", "Ni"], "frac_coords": [[0.0000, 0.0000, 0.5000], [0.0000, 0.0000, 0.0000], [0.5000, 0.5000, 0.1305], [0.5000, 0.5000, 0.8695], [0.0000, 0.5000, 0.2680], [0.5000, 0.0000, 0.2680], [0.0000, 0.5000, 0.7320], [0.5000, 0.0000, 0.7320], [0.5000, 0.5000, 0.5000]]}



3.
{"formula": "HoCuSi2Ni", "functional": "GGA-PBE", "state": "optimized geometry", "energy_ev_per_cell": -28.9, "m_tot_mub_per_cell": 0.0, "e_form_raw_ev_per_atom": -0.714, "space_group": "I-4m2", "dos_ef_per_ev_atom": 0.54, "lattice": [[-2.4835, -1.8751, 2.4410], [1.1302, -3.4729, -1.5178], [4.2094, 2.3586, 2.8905]], "species": ["Ho", "Cu", "Si", "Si", "Ni"], "frac_coords": [[0.0000, 0.0000, 0.0000], [0.2500, 0.7500, 0.5000], [0.6210, 0.6210, 0.2420], [0.3790, 0.3790, 0.7580], [0.7500, 0.2500, 0.5000]]}



4.
{"formula": "Ho2CuSi3Ni12", "functional": "GGA-PBE", "state": "optimized geometry", "energy_ev_per_cell": -101.7, "m_tot_mub_per_cell": 0.0, "e_form_raw_ev_per_atom": -0.156, "space_group": "R-3m", "dos_ef_per_ev_atom": 0.67, "lattice": [[6.0097, -1.3538, -0.9603], [1.7907, 5.8944, -0.9603], [1.7907, 1.0423, 5.8804]], "species": ["Ho", "Ho", "Cu", "Si", "Si", "Si", "Ni", "Ni", "Ni", "Ni", "Ni", "Ni", "Ni", "Ni", "Ni", "Ni", "Ni", "Ni"], "frac_coords": [[0.6554, 0.6554, 0.6554], [0.3446, 0.3446, 0.3446], [0.0000, 0.0000, 0.0000], [0.5000, 0.0000, 0.0000], [0.0000, 0.5000, 0.0000], [0.0000, 0.0000, 0.5000], [0.3861, 0.3861, 0.9005], [0.8128, 0.8128, 0.2974], [0.2974, 0.8128, 0.8128], [0.9005, 0.3861, 0.3861], [0.8128, 0.2974, 0.8128], [0.3861, 0.9005, 0.3861], [0.6139, 0.6139, 0.0995], [0.1872, 0.1872, 0.7026], [0.7026, 0.1872, 0.1872], [0.0995, 0.6139, 0.6139], [0.1872, 0.7026, 0.1872], [0.6139, 0.0995, 0.6139]]}



5.
{"formula": "SmHoCuNi", "functional": "GGA-PBE", "state": "optimized geometry", "energy_ev_per_cell": -20.5, "m_tot_mub_per_cell": 0.0, "delta_e_f_ev_per_atom": -0.324, "space_group": "Amm2", "dos_ef_per_ev_atom": 0.76, "lattice": [[-0.1532, 2.6053, 2.6833], [2.0693, -2.7425, 2.7810], [4.6185, 0.5567, -2.8876]], "species": ["Sm", "Ho", "Cu", "Ni"], "frac_coords": [[0.1406, 0.0000, 0.2811], [0.8622, 0.5000, 0.7245], [0.5698, 0.5000, 0.1396], [0.4274, 0.0000, 0.8548]]}



6.
{"formula": "HoCuNiSn", "functional": "GGA-PBE", "state": "optimized geometry", "energy_ev_per_cell": -20.2, "m_tot_mub_per_cell": 0.0, "delta_e_f_ev_per_atom": -0.441, "space_group": "F-43m", "dos_ef_per_ev_atom": 0.60, "lattice": [[4.6180, 0.0000, 0.0000], [2.3090, 3.9993, 0.0000], [2.3090, 1.3331, 3.7706]], "species": ["Ni", "Ho", "Cu", "Sn"], "frac_coords": [[0.0000, 0.0000, 0.0000], [0.7500, 0.7500, 0.7500], [0.5000, 0.5000, 0.5000], [0.2500, 0.2500, 0.2500]]}



7.
{"formula": "TbHoCuNi", "functional": "GGA-PBE", "state": "optimized geometry", "energy_ev_per_cell": -20.5, "m_tot_mub_per_cell": 0.0, "delta_e_f_ev_per_atom": -0.361, "space_group": "Amm2", "dos_ef_per_ev_atom": 0.68, "lattice": [[3.6947, 0.0000, 0.0000], [0.0000, 4.3992, 0.0000], [-1.8474, 0.0000, 5.1018]], "species": ["Tb", "Ho", "Cu", "Ni"], "frac_coords": [[0.1397, 0.0000, 0.2793], [0.8614, 0.5000, 0.7227], [0.5716, 0.5000, 0.1433], [0.4273, 0.0000, 0.8546]]}



8.
{"formula": "TbHoCuNi", "functional": "GGA-PBE", "state": "optimized geometry", "energy_ev_per_cell": -20.4, "m_tot_mub_per_cell": 0.0, "delta_e_f_ev_per_atom": -0.323, "space_group": "F-43m", "dos_ef_per_ev_atom": 0.66, "lattice": [[4.8366, 0.0000, 0.0000], [2.4183, 4.1886, 0.0000], [2.4183, 1.3962, 3.9491]], "species": ["Ni", "Tb", "Ho", "Cu"], "frac_coords": [[0.2500, 0.2500, 0.2500], [0.0000, 0.0000, 0.0000], [0.5000, 0.5000, 0.5000], [0.7500, 0.7500, 0.7500]]}



9.
{"formula": "HoTmCuNi", "functional": "GGA-PBE", "state": "optimized geometry", "energy_ev_per_cell": -20.3, "m_tot_mub_per_cell": 0.0, "delta_e_f_ev_per_atom": -0.355, "space_group": "F-43m", "dos_ef_per_ev_atom": 0.77, "lattice": [[4.7886, 0.0000, 0.0000], [2.3943, 4.1471, 0.0000], [2.3943, 1.3824, 3.9099]], "species": ["Ni", "Tm", "Ho", "Cu"], "frac_coords": [[0.7500, 0.7500, 0.7500], [0.5000, 0.5000, 0.5000], [0.0000, 0.0000, 0.0000], [0.2500, 0.2500, 0.2500]]}



10.
{"formula": "HoTmCuNi", "functional": "GGA-PBE", "state": "optimized geometry", "energy_ev_per_cell": -20.5, "m_tot_mub_per_cell": 0.0, "delta_e_f_ev_per_atom": -0.388, "space_group": "Amm2", "dos_ef_per_ev_atom": 0.60, "lattice": [[3.6489, 0.0000, 0.0000], [0.0000, 4.3739, 0.0000], [-1.8244, 0.0000, 5.0503]], "species": ["Ho", "Tm", "Cu", "Ni"], "frac_coords": [[0.1398, 0.0000, 0.2796], [0.8612, 0.5000, 0.7225], [0.5727, 0.5000, 0.1453], [0.4263, 0.0000, 0.8526]]}



11.
{"formula": "Ho2Zn2Cu5Ni", "functional": "GGA-PBE", "state": "optimized geometry", "energy_ev_per_cell": -77.3, "m_tot_mub_per_cell": 0.0, "delta_e_f_ev_per_atom": -0.071, "space_group": "P4/mbm", "dos_ef_per_ev_atom": 0.66, "lattice": [[-2.3964, 2.3529, 0.7331], [-6.7705, -6.8327, -0.2017], [1.3191, -1.5845, 9.3976]], "species": ["Ho", "Ho", "Ho", "Ho", "Zn", "Zn", "Zn", "Zn", "Cu", "Cu", "Cu", "Cu", "Cu", "Cu", "Cu", "Cu", "Cu", "Cu", "Ni", "Ni"], "frac_coords": [[0.0000, 0.6774, 0.1774], [0.0000, 0.3226, 0.8226], [0.0000, 0.1774, 0.3226], [0.0000, 0.8226, 0.6774], [0.0000, 0.1226, 0.6226], [0.0000, 0.8774, 0.3774], [0.0000, 0.6226, 0.8774], [0.0000, 0.3774, 0.1226], [0.5000, 0.1870, 0.0493], [0.5000, 0.8130, 0.9507], [0.5000, 0.0493, 0.8130], [0.5000, 0.6870, 0.4507], [0.5000, 0.9507, 0.1870], [0.5000, 0.3130, 0.5493], [0.5000, 0.5493, 0.6870], [0.5000, 0.4507, 0.3130], [0.5000, 0.5000, 0.0000], [0.5000, 0.0000, 0.5000], [0.0000, 0.0000, 0.0000], [0.0000, 0.5000, 0.5000]]}



12.
{"formula": "HoZn2CuNi4", "functional": "GGA-PBE", "state": "optimized geometry", "energy_ev_per_cell": -36.0, "m_tot_mub_per_cell": 0.0, "delta_e_f_ev_per_atom": -0.207, "space_group": "R-3m", "dos_ef_per_ev_atom": 0.48, "lattice": [[-2.5975, 1.9778, -2.4849], [-3.7661, -1.4962, -0.6413], [-4.7271, 4.1809, 4.8820]], "species": ["Ho", "Zn", "Zn", "Cu", "Ni", "Ni", "Ni", "Ni"], "frac_coords": [[0.0000, 0.0000, 0.0000], [0.7612, 0.7612, 0.7165], [0.2388, 0.2388, 0.2835], [0.5000, 0.5000, 0.5000], [0.3980, 0.3980, 0.8061], [0.8748, 0.8748, 0.3757], [0.1252, 0.1252, 0.6243], [0.6020, 0.6020, 0.1939]]}